# Sc6MnIn2 PBE-GGA optimized geometry
# Formation energy from the elements: -234 meV/atom
# Total magnetic moment: 0.3 μB per formula unit
# Fermi-level density of states: 1.225 states/eV/atom
# Uncorrected energy: -6.083 eV/atom
data_Sc6MnIn2
_chemical_formula_sum 'Sc6 Mn1 In2'
_cell_length_a 8.0340
_cell_length_b 8.0340
_cell_length_c 3.6035
_cell_angle_alpha 90.00
_cell_angle_beta 90.00
_cell_angle_gamma 120.00
_symmetry_space_group_name_H-M 'P -6 2 m'
_symmetry_Int_Tables_number 189
_symmetry_space_group_name_Hall 'P -6 -2'
loop_
_atom_site_label
_atom_site_type_symbol
_atom_site_fract_x
_atom_site_fract_y
_atom_site_fract_z
Sc1 Sc 0.0000 0.2394 0.0000
Sc2 Sc 0.0000 0.6209 0.5000
Mn1 Mn 0.0000 0.0000 0.5000
In1 In 0.3333 0.6667 0.0000

---

# Sc4MnIn PBE-GGA optimized geometry
# Formation energy from the elements: 321 meV/atom
# Total magnetic moment: 3.6 μB per formula unit
# Fermi-level density of states: 1.029 states/eV/atom
# Uncorrected energy: -5.884 eV/atom
data_Sc4MnIn
_chemical_formula_sum 'Sc16 Mn4 In4'
_cell_length_a 8.1765
_cell_length_b 8.1765
_cell_length_c 8.1765
_cell_angle_alpha 90.00
_cell_angle_beta 90.00
_cell_angle_gamma 90.00
_symmetry_space_group_name_H-M 'F -4 3 m'
_symmetry_Int_Tables_number 216
_symmetry_space_group_name_Hall 'F -4 2 3'
loop_
_atom_site_label
_atom_site_type_symbol
_atom_site_fract_x
_atom_site_fract_y
_atom_site_fract_z
Sc1 Sc 0.1245 0.1245 0.3755
Mn1 Mn 0.2500 0.2500 0.7500
In1 In 0.0000 0.0000 0.0000

---

# ScMn2In PBE-GGA optimized geometry
# Formation energy from the elements: 494 meV/atom
# Total magnetic moment: 6.2 μB per formula unit
# Fermi-level density of states: 0.950 states/eV/atom
# Uncorrected energy: -6.358 eV/atom
data_ScMn2In
_chemical_formula_sum 'Sc4 Mn8 In4'
_cell_length_a 7.4124
_cell_length_b 7.4124
_cell_length_c 5.7176
_cell_angle_alpha 90.00
_cell_angle_beta 90.00
_cell_angle_gamma 90.00
_symmetry_space_group_name_H-M 'I -4 2 d'
_symmetry_Int_Tables_number 122
_symmetry_space_group_name_Hall 'I -4 2bw'
loop_
_atom_site_label
_atom_site_type_symbol
_atom_site_fract_x
_atom_site_fract_y
_atom_site_fract_z
Sc1 Sc 0.0000 0.0000 0.0000
Mn1 Mn 0.2446 0.2500 0.6250
In1 In 0.0000 0.0000 0.5000

---

# Sc2MnIn PBE-GGA optimized geometry
# Formation energy from the elements: -52 meV/atom
# Total magnetic moment: 3.3 μB per formula unit
# Fermi-level density of states: 1.000 states/eV/atom
# Uncorrected energy: -6.195 eV/atom
data_Sc2MnIn
_chemical_formula_sum 'Sc2 Mn1 In1'
_cell_length_a 3.2033
_cell_length_b 3.2033
_cell_length_c 8.1080
_cell_angle_alpha 90.00
_cell_angle_beta 90.00
_cell_angle_gamma 90.00
_symmetry_space_group_name_H-M 'P 4 m m'
_symmetry_Int_Tables_number 99
_symmetry_space_group_name_Hall 'P 4 -2'
loop_
_atom_site_label
_atom_site_type_symbol
_atom_site_fract_x
_atom_site_fract_y
_atom_site_fract_z
Sc1 Sc 0.0000 0.0000 0.0000
Sc2 Sc 0.5000 0.5000 0.3089
Mn1 Mn 0.5000 0.5000 0.7881
In1 In 0.0000 0.0000 0.5738

---

# ScMnIn4 PBE-GGA optimized geometry
# Formation energy from the elements: 254 meV/atom
# Total magnetic moment: 3.5 μB per formula unit
# Fermi-level density of states: 0.653 states/eV/atom
# Uncorrected energy: -4.155 eV/atom
data_ScMnIn4
_chemical_formula_sum 'Sc4 Mn4 In16'
_cell_length_a 8.2989
_cell_length_b 8.2989
_cell_length_c 8.2989
_cell_angle_alpha 90.00
_cell_angle_beta 90.00
_cell_angle_gamma 90.00
_symmetry_space_group_name_H-M 'F -4 3 m'
_symmetry_Int_Tables_number 216
_symmetry_space_group_name_Hall 'F -4 2 3'
loop_
_atom_site_label
_atom_site_type_symbol
_atom_site_fract_x
_atom_site_fract_y
_atom_site_fract_z
Sc1 Sc 0.0000 0.0000 0.0000
Mn1 Mn 0.2500 0.2500 0.2500
In1 In 0.1250 0.1250 0.6250

---

# ScMn3In PBE-GGA optimized geometry
# E above lowest polymorph: 0.0 meV/atom
# Formation energy from the elements: 1087 meV/atom
# Total magnetic moment: 11.1 μB per formula unit
# Fermi-level density of states: 2.475 states/eV/atom
# Uncorrected energy: -6.229 eV/atom
data_ScMn3In
_chemical_formula_sum 'Sc1 Mn3 In1'
_cell_length_a 4.9500
_cell_length_b 4.9500
_cell_length_c 4.9500
_cell_angle_alpha 90.00
_cell_angle_beta 90.00
_cell_angle_gamma 90.00
_symmetry_space_group_name_H-M 'P m -3 m'
_symmetry_Int_Tables_number 221
_symmetry_space_group_name_Hall '-P 4 2 3'
loop_
_atom_site_label
_atom_site_type_symbol
_atom_site_fract_x
_atom_site_fract_y
_atom_site_fract_z
Sc1 Sc 0.0000 0.0000 0.0000
Mn1 Mn 0.0000 0.5000 0.5000
In1 In 0.5000 0.5000 0.5000

---

# ScMnIn PBE-GGA optimized geometry
# Formation energy from the elements: -114 meV/atom
# Total magnetic moment: 2.7 μB per formula unit
# Fermi-level density of states: 0.429 states/eV/atom
# Uncorrected energy: -6.193 eV/atom
data_ScMnIn
_chemical_formula_sum 'Sc2 Mn2 In2'
_cell_length_a 3.2487
_cell_length_b 3.2487
_cell_length_c 11.0441
_cell_angle_alpha 90.00
_cell_angle_beta 90.00
_cell_angle_gamma 90.00
_symmetry_space_group_name_H-M 'I 4 m m'
_symmetry_Int_Tables_number 107
_symmetry_space_group_name_Hall 'I 4 -2'
loop_
_atom_site_label
_atom_site_type_symbol
_atom_site_fract_x
_atom_site_fract_y
_atom_site_fract_z
Sc1 Sc 0.0000 0.0000 0.0000
Mn1 Mn 0.0000 0.0000 0.3480
In1 In 0.0000 0.0000 0.6952

---

# ScMn2In2 PBE-GGA optimized geometry
# Formation energy from the elements: 109 meV/atom
# Total magnetic moment: 7.0 μB per formula unit
# Fermi-level density of states: 1.078 states/eV/atom
# Uncorrected energy: -5.920 eV/atom
data_ScMn2In2
_chemical_formula_sum 'Sc2 Mn4 In4'
_cell_length_a 7.9222
_cell_length_b 7.9222
_cell_length_c 3.0380
_cell_angle_alpha 90.00
_cell_angle_beta 90.00
_cell_angle_gamma 90.00
_symmetry_space_group_name_H-M 'P 4/m b m'
_symmetry_Int_Tables_number 127
_symmetry_space_group_name_Hall '-P 4 2ab'
loop_
_atom_site_label
_atom_site_type_symbol
_atom_site_fract_x
_atom_site_fract_y
_atom_site_fract_z
Sc1 Sc 0.0000 0.0000 0.0000
Mn1 Mn 0.1180 0.3820 0.0000
In1 In 0.1770 0.6770 0.5000